Record 1
Crystalline DyTm2In2 at its relaxed geometry, computed with PBE.

Summary:
Its excess energy over the best structure of this formula in the dataset is 0.0 kJ/mol of formula units. The formation energy from the elements comes out at -1.8 eV per formula unit.

Structure (POSCAR):
```
DyTm2In2
1.0
3.6811 0.0000 -0.4935
0.0000 5.3085 0.0000
-0.0208 0.0000 13.8410
In Dy Tm
4 2 4
direct
0.5494 0.2500 0.0985 In
0.3569 0.2500 0.7124 In
0.4506 0.7500 0.9015 In
0.6431 0.7500 0.2876 In
0.1485 0.2500 0.2988 Dy
0.8515 0.7500 0.7012 Dy
0.0481 0.7500 0.0961 Tm
0.2376 0.7500 0.4752 Tm
0.9519 0.2500 0.9039 Tm
0.7624 0.2500 0.5248 Tm
```


Record 2
Crystalline Dy7TmIn4 at its relaxed geometry, computed with PBE.

Summary:
The formation energy from the elements comes out at -1.1 eV per formula unit.

Structure (POSCAR):
```
Dy7TmIn4
1.0
-2.2606 -3.2202 4.0828
6.1136 -6.4780 2.2128
2.7640 1.9776 7.0274
In Dy Tm
4 7 1
direct
0.4423 0.7486 0.3669 In
0.3190 0.3358 0.0262 In
0.6810 0.6642 0.9738 In
0.5577 0.2514 0.6331 In
0.0649 0.6015 0.2688 Dy
0.2726 0.6714 0.7833 Dy
0.7274 0.3286 0.2167 Dy
0.2091 0.1209 0.4609 Dy
0.5000 0.0000 0.0000 Dy
0.7909 0.8791 0.5391 Dy
0.9351 0.3985 0.7312 Dy
0.0000 0.0000 0.0000 Tm
```


Record 3
Crystalline Dy2TmIn at its relaxed geometry, computed with PBE.

Summary:
Its excess energy over the best structure of this formula in the dataset is 49.6 kJ/mol of formula units. The formation energy from the elements comes out at -0.5 eV per formula unit.

Structure (POSCAR):
```
Dy2TmIn
1.0
-2.2338 -1.0655 -4.8251
-4.9598 -2.1756 -0.2707
-4.1728 2.9753 -1.7724
Dy Tm In
2 1 1
direct
0.7500 0.7500 0.7500 Dy
0.2500 0.2500 0.2500 Dy
0.5000 0.5000 0.5000 Tm
0.0000 0.0000 0.0000 In
```


Record 4
Crystalline Dy2TmIn2 at its relaxed geometry, computed with PBE.

Summary:
Its excess energy over the best structure of this formula in the dataset is 12.7 kJ/mol of formula units. The formation energy from the elements comes out at -1.7 eV per formula unit.

Structure (POSCAR):
```
Dy2TmIn2
1.0
4.8596 0.0000 0.0000
2.4298 5.4995 -0.0606
2.4298 1.4143 5.3148
Dy In Tm
2 2 1
direct
0.1939 0.3061 0.3061 Dy
0.8061 0.6939 0.6939 Dy
0.5000 0.2857 0.7143 In
0.5000 0.7143 0.2857 In
0.0000 0.0000 0.0000 Tm
```


Record 5
Crystalline Dy2Tm2In7 at its relaxed geometry, computed with PBE.

Summary:
The formation energy from the elements comes out at 0.5 eV per formula unit.

Structure (POSCAR):
```
Dy2Tm2In7
1.0
-0.2460 6.5469 2.0890
-7.2573 -0.4189 0.4593
0.5739 -3.4340 5.9301
In Dy Tm
7 2 2
direct
0.5003 0.7069 0.9998 In
0.5002 0.7038 0.4998 In
0.4997 0.2931 0.0002 In
0.4998 0.2962 0.5002 In
0.9998 0.2931 0.5003 In
0.0000 0.0000 0.0000 In
0.0002 0.7069 0.4997 In
0.8158 0.5000 0.8158 Dy
0.1842 0.5000 0.1842 Dy
0.2963 0.0000 0.7037 Tm
0.7037 0.0000 0.2963 Tm
```


Record 6
Crystalline Dy7Tm2In2 at its relaxed geometry, computed with PBE.

Summary:
The formation energy from the elements comes out at 1.7 eV per formula unit.

Structure (POSCAR):
```
Dy7Tm2In2
1.0
-4.3654 4.8039 1.6073
-3.1148 0.0446 -8.5909
-1.7218 -6.4345 0.5913
Dy In Tm
7 2 2
direct
0.0000 0.0000 0.0000 Dy
0.4998 0.1857 0.5002 Dy
0.5003 0.7012 0.9998 Dy
0.4997 0.2988 0.0002 Dy
0.5002 0.8143 0.4998 Dy
0.0002 0.7012 0.4997 Dy
0.9998 0.2988 0.5003 Dy
0.7292 0.0000 0.2708 In
0.2708 0.0000 0.7292 In
0.2434 0.5000 0.2434 Tm
0.7566 0.5000 0.7566 Tm
```


Record 7
Crystalline Dy2Tm3In7 at its relaxed geometry, computed with PBE.

Summary:
The formation energy from the elements comes out at -2.1 eV per formula unit.

Structure (POSCAR):
```
Dy2Tm3In7
1.0
-3.3657 3.7153 -1.4637
-0.5120 -2.2478 -4.5282
-9.5525 -5.9428 6.8812
In Dy Tm
7 2 3
direct
0.0000 0.2778 0.5556 In
0.5000 0.0771 0.1542 In
0.5000 0.9229 0.8458 In
0.0000 0.5734 0.1467 In
0.0000 0.4266 0.8533 In
0.0000 0.0000 0.0000 In
0.0000 0.7222 0.4444 In
0.0000 0.8508 0.7016 Dy
0.0000 0.1492 0.2984 Dy
0.5000 0.3502 0.7003 Tm
0.5000 0.6498 0.2997 Tm
0.5000 0.5000 0.0000 Tm
```


Record 8
Crystalline Dy2Tm7In3 at its relaxed geometry, computed with PBE.

Summary:
The formation energy from the elements comes out at -1.3 eV per formula unit.

Structure (POSCAR):
```
Dy2Tm7In3
1.0
3.6284 0.0000 0.0000
0.0000 5.4444 0.0000
0.0000 -2.7222 17.5225
Tm Dy In
7 2 3
direct
0.0000 0.0000 0.0000 Tm
0.5000 0.9104 0.8207 Tm
0.0000 0.5725 0.1449 Tm
0.5000 0.0896 0.1793 Tm
0.0000 0.2733 0.5466 Tm
0.0000 0.7267 0.4534 Tm
0.0000 0.4275 0.8551 Tm
0.0000 0.1732 0.3465 Dy
0.0000 0.8268 0.6535 Dy
0.5000 0.3518 0.7036 In
0.5000 0.5000 0.0000 In
0.5000 0.6482 0.2964 In
```


Record 9
Crystalline Dy3Tm2In3 at its relaxed geometry, computed with PBE.

Summary:
The formation energy from the elements comes out at -2.9 eV per formula unit.

Structure (POSCAR):
```
Dy3Tm2In3
1.0
3.7389 0.0000 0.0000
0.0000 5.3200 0.0000
-1.8695 -2.6600 11.0855
Tm In Dy
2 3 3
direct
0.2643 0.7643 0.5286 Tm
0.7357 0.2357 0.4714 Tm
0.1206 0.1206 0.2411 In
0.8794 0.8794 0.7589 In
0.0000 0.5000 0.0000 In
0.5000 0.0000 0.0000 Dy
0.6252 0.6252 0.2503 Dy
0.3748 0.3748 0.7497 Dy
```


Record 10
Crystalline Dy3TmIn4 at its relaxed geometry, computed with PBE.

Summary:
Its excess energy over the best structure of this formula in the dataset is 0.0 kJ/mol of formula units. The formation energy from the elements comes out at -3.6 eV per formula unit.

Structure (POSCAR):
```
Dy3TmIn4
1.0
-0.2760 -2.3150 2.9332
-2.0566 -2.3615 -2.0574
12.5103 -7.0635 -4.3977
In Tm Dy
4 1 3
direct
0.0000 0.0000 0.8784 In
0.0000 0.0000 0.3737 In
0.0000 0.0000 0.6263 In
0.0000 0.0000 0.1216 In
0.5000 0.5000 0.0000 Tm
0.5000 0.5000 0.5000 Dy
0.5000 0.5000 0.2477 Dy
0.5000 0.5000 0.7523 Dy
```


Record 11
Crystalline Dy5Tm2In4 at its relaxed geometry, computed with PBE.

Summary:
Its excess energy over the best structure of this formula in the dataset is 0.0 kJ/mol of formula units. The formation energy from the elements comes out at -2.7 eV per formula unit.

Structure (POSCAR):
```
Dy5Tm2In4
1.0
3.3995 0.0000 0.0000
0.0000 8.5839 -0.0399
0.0000 1.1524 10.4300
In Dy Tm
4 5 2
direct
0.5000 0.1986 0.1185 In
0.5000 0.8014 0.8815 In
0.5000 0.7556 0.4248 In
0.5000 0.2444 0.5752 In
0.0000 0.4650 0.3326 Dy
0.0000 0.1622 0.8559 Dy
0.0000 0.5000 0.0000 Dy
0.0000 0.8378 0.1441 Dy
0.0000 0.5350 0.6674 Dy
0.0000 0.0845 0.3606 Tm
0.0000 0.9155 0.6394 Tm
```


Record 12
Crystalline DyTmIn6 at its relaxed geometry, computed with PBE.

Summary:
Its excess energy over the best structure of this formula in the dataset is 51.3 kJ/mol of formula units. The formation energy from the elements comes out at -2.6 eV per formula unit.

Structure (POSCAR):
```
DyTmIn6
1.0
5.3237 0.0000 0.0000
0.0000 6.5692 -0.2131
0.0000 -3.0995 5.7959
In Dy Tm
6 1 1
direct
0.0000 0.0742 0.4121 In
0.5000 0.9136 0.0864 In
0.5000 0.9135 0.5771 In
0.0000 0.5879 0.9258 In
0.5000 0.4229 0.0865 In
0.0000 0.5878 0.4122 In
0.5000 0.4166 0.5834 Dy
0.0000 0.0833 0.9167 Tm
```